VASP calculation (PBE) on a geometry-optimized Tl2NiN structure. Values from VASP.

Cell and atoms, written as Quantum ESPRESSO input:
```
&SYSTEM
  ibrav = 0, nat = 8, ntyp = 3
/
ATOMIC_SPECIES
Tl 204.38 Tl.upf
Ni 58.69 Ni.upf
N 14.01 N.upf
ATOMIC_POSITIONS angstrom
Tl 4.725 1.320 -1.000
Tl 1.320 1.575 1.000
Tl -1.575 1.830 2.999
Tl 1.830 1.575 4.998
Ni 3.150 0.000 1.999
Ni 0.000 0.000 3.999
N 0.000 0.000 0.000
N 0.000 3.150 1.999
CELL_PARAMETERS angstrom
-3.150 3.150 3.999
3.150 -3.150 3.999
3.150 3.150 -3.999
```

The density of states at the Fermi level comes out at 6.1 states/eV/cell. Its total magnetization is 0.00 μB/cell. The uncorrected formation energy comes out at 20.14 kcal/mol of atoms.

=====

VASP calculation (PBE) on a geometry-optimized KPmRhO4 structure. Values from VASP.

Cell and atoms, written as Quantum ESPRESSO input:
```
&SYSTEM
  ibrav = 0, nat = 14, ntyp = 4
/
ATOMIC_SPECIES
K 39.10 K.upf
Pm 145.00 Pm.upf
Rh 102.91 Rh.upf
O 16.00 O.upf
ATOMIC_POSITIONS angstrom
K 0.362 1.397 0.873
K 3.260 4.190 6.490
Pm 0.094 4.190 3.510
Pm 3.528 1.397 3.853
Rh 0.627 1.397 5.286
Rh 2.995 4.190 2.077
O -0.843 0.105 5.119
O -0.843 2.688 5.119
O 1.294 4.190 1.334
O 1.163 1.397 3.422
O 2.459 4.190 3.941
O 2.328 1.397 6.028
O 4.465 2.898 2.244
O 4.465 5.481 2.244
CELL_PARAMETERS angstrom
5.914 0.000 0.000
0.000 5.586 0.000
-2.293 0.000 7.363
```

The density of states at the Fermi level comes out at 4.1 states/eV/cell. Its total magnetization is 1.86 μB/cell. The uncorrected formation energy comes out at -38.60 kcal/mol of atoms.